5
Lattice="-3.160 -2.245 2.828 -1.042 -3.031 -3.571 3.457 -2.966 1.508" Properties=species:S:1:pos:R:3 comment="CaMgIr3 (PBE, optimized geometry)" formation_energy_mev_per_atom=1868 sg="Pm-3m, No. 221" relative_energy_mev_per_atom=969 pbc="T T T"
Ir -0.521 -1.515 -1.786
Ir -1.580 -1.123 1.414
Ir 1.729 -1.483 0.754
Ca 0.000 0.000 0.000
Mg -0.372 -4.121 0.382

***

10
Lattice="5.864 0.000 0.000 0.000 7.805 0.260 0.000 -2.128 8.164" Properties=species:S:1:pos:R:3 comment="RbBaTeS2 (PBE, optimized geometry)" sg="P2/c, No. 13" raw_formation_energy_ev_per_fu=-5.282 pbc="T T T"
Ba 2.990 -1.596 6.123
Ba 2.874 -0.532 2.041
S 1.760 1.932 0.464
S 4.104 3.745 7.961
S 1.760 4.809 3.879
S 4.104 0.868 4.546
Rb 1.008 2.306 6.253
Rb 4.857 3.370 2.171
Te 0.000 -1.064 4.082
Te 0.000 0.000 0.000

***

12
Lattice="4.042 -0.004 0.002 0.001 4.042 0.002 2.000 1.998 15.815" Properties=species:S:1:pos:R:3 comment="LaGe2Pt7Pb2 (PBE, optimized geometry)" formation_energy_mev_per_atom=-481 sg="C2/m, No. 12" pbc="T T T"
Pb 4.032 4.028 6.694
Pb 2.011 2.008 9.126
Pt 4.034 4.029 9.607
Pt 4.039 2.015 2.312
Pt 2.004 4.021 13.508
Pt 4.023 1.999 13.508
Pt 2.009 2.007 6.213
Pt 2.021 2.019 0.002
Pt 2.020 4.037 2.312
Ge 4.026 4.021 12.040
Ge 2.017 2.015 3.780
La 0.000 0.000 0.000